Entry 1:
! Cu3BiRh GGA-PBE optimized geometry; values from VASP
&SYSTEM
  ibrav = 0, nat = 5, ntyp = 3
/
ATOMIC_SPECIES
Rh 102.91 Rh.upf
Bi 208.98 Bi.upf
Cu 63.55 Cu.upf
ATOMIC_POSITIONS crystal
Rh 0.000 0.000 0.000
Bi 0.500 0.500 0.500
Cu 0.000 0.500 0.000
Cu 0.000 0.000 0.500
Cu 0.500 0.000 0.000
CELL_PARAMETERS angstrom
4.651 0.000 0.000
0.000 4.651 0.000
0.000 0.000 4.651
! - VASP energy: -19.6 eV/cell
! - Polymorph energy (0 for the lowest one): 0.000 eV/f.u.
! - Formation energy: 0.781 eV/atom

=====

Entry 2:
! CuBiRh3 GGA-PBE optimized geometry; values from VASP
&SYSTEM
  ibrav = 0, nat = 5, ntyp = 3
/
ATOMIC_SPECIES
Rh 102.91 Rh.upf
Bi 208.98 Bi.upf
Cu 63.55 Cu.upf
ATOMIC_POSITIONS crystal
Rh 0.000 0.500 0.000
Rh 0.000 0.000 0.500
Rh 0.500 0.000 0.000
Bi 0.500 0.500 0.500
Cu 0.000 0.000 0.000
CELL_PARAMETERS angstrom
-4.081 0.121 -2.001
1.099 -3.660 -2.463
-1.676 -2.694 3.256
! - VASP energy: -26.1 eV/cell
! - Polymorph energy (0 for the lowest one): 0.000 eV/f.u.
! - Formation energy: 0.796 eV/atom

=====

Entry 3:
! CuBi2Rh2 GGA-PBE optimized geometry; values from VASP
&SYSTEM
  ibrav = 0, nat = 10, ntyp = 3
/
ATOMIC_SPECIES
Rh 102.91 Rh.upf
Bi 208.98 Bi.upf
Cu 63.55 Cu.upf
ATOMIC_POSITIONS crystal
Rh 0.359 0.859 0.000
Rh 0.859 0.641 0.000
Rh 0.641 0.141 0.000
Rh 0.141 0.359 0.000
Bi 0.163 0.663 0.500
Bi 0.663 0.837 0.500
Bi 0.837 0.337 0.500
Bi 0.337 0.163 0.500
Cu 0.000 0.000 0.000
Cu 0.500 0.500 0.000
CELL_PARAMETERS angstrom
-6.607 0.399 2.859
2.819 -0.648 6.604
0.326 3.755 0.229
! - VASP energy: -52.4 eV/cell
! - Formation energy: 0.070 eV/atom

=====

Entry 4:
! Cu2BiRh GGA-PBE optimized geometry; values from VASP
&SYSTEM
  ibrav = 0, nat = 8, ntyp = 3
/
ATOMIC_SPECIES
Rh 102.91 Rh.upf
Bi 208.98 Bi.upf
Cu 63.55 Cu.upf
ATOMIC_POSITIONS crystal
Rh 0.500 0.500 0.000
Rh 0.250 0.750 0.500
Bi 0.000 0.000 0.000
Bi 0.750 0.250 0.500
Cu 0.605 0.125 0.250
Cu 0.145 0.625 0.250
Cu 0.375 0.395 0.750
Cu 0.875 0.855 0.750
CELL_PARAMETERS angstrom
-3.782 6.188 0.941
-5.749 -3.869 2.337
-3.873 1.329 4.115
! - VASP energy: -36.2 eV/cell
! - Polymorph energy (0 for the lowest one): 0.651 eV/f.u.
! - Formation energy: 0.331 eV/atom

=====

Entry 5:
! Cu2Bi2Rh GGA-PBE optimized geometry; values from VASP
&SYSTEM
  ibrav = 0, nat = 5, ntyp = 3
/
ATOMIC_SPECIES
Rh 102.91 Rh.upf
Bi 208.98 Bi.upf
Cu 63.55 Cu.upf
ATOMIC_POSITIONS crystal
Rh 0.000 0.000 0.000
Bi 0.398 0.398 0.204
Bi 0.602 0.602 0.796
Cu 0.750 0.250 0.500
Cu 0.250 0.750 0.500
CELL_PARAMETERS angstrom
3.431 0.000 0.000
0.000 3.431 0.000
1.715 1.715 8.359
! - VASP energy: -22.5 eV/cell
! - Polymorph energy (0 for the lowest one): 0.000 eV/f.u.
! - Formation energy: 0.152 eV/atom

=====

Entry 6:
! Cu2TcBiRh GGA-PBE optimized geometry; values from VASP
&SYSTEM
  ibrav = 0, nat = 5, ntyp = 4
/
ATOMIC_SPECIES
Rh 102.91 Rh.upf
Bi 208.98 Bi.upf
Cu 63.55 Cu.upf
Tc 98.00 Tc.upf
ATOMIC_POSITIONS crystal
Rh 0.500 0.500 0.500
Bi 0.000 0.500 0.000
Cu 0.000 0.000 0.500
Cu 0.500 0.000 0.000
Tc 0.000 0.000 0.000
CELL_PARAMETERS angstrom
-3.284 -2.336 -2.246
3.084 -0.448 -4.043
1.653 -3.958 1.700
! - VASP energy: -23.1 eV/cell
! - Formation energy: 1.346 eV/atom

=====

What is the formation energy in the fourth record? 0.331 eV/atom

=====

Look up the formation energy of the sixth one. 1.346 eV/atom

=====

What did the sixth record say?
! Cu2TcBiRh GGA-PBE optimized geometry; values from VASP
&SYSTEM
  ibrav = 0, nat = 5, ntyp = 4
/
ATOMIC_SPECIES
Rh 102.91 Rh.upf
Bi 208.98 Bi.upf
Cu 63.55 Cu.upf
Tc 98.00 Tc.upf
ATOMIC_POSITIONS crystal
Rh 0.500 0.500 0.500
Bi 0.000 0.500 0.000
Cu 0.000 0.000 0.500
Cu 0.500 0.000 0.000
Tc 0.000 0.000 0.000
CELL_PARAMETERS angstrom
-3.284 -2.336 -2.246
3.084 -0.448 -4.043
1.653 -3.958 1.700
! - VASP energy: -23.1 eV/cell
! - Formation energy: 1.346 eV/atom